# Hg2HAuF

A relaxed structure of Hg2HAuF (PBE, Alexandria). Values from VASP.

Geometry as Quantum ESPRESSO input:
```
&SYSTEM
  ibrav = 0, nat = 5, ntyp = 4
/
ATOMIC_SPECIES
H 1.01 H.upf
Au 196.97 Au.upf
Hg 200.59 Hg.upf
F 19.00 F.upf
CELL_PARAMETERS angstrom
5.0314 0.0000 0.0000
0.0000 3.4172 0.0000
0.0000 0.0000 5.0314
ATOMIC_POSITIONS angstrom
H 0.0000 0.0000 0.0000
Au 0.0000 1.7086 0.0000
Hg 0.0000 0.0000 2.5157
Hg 2.5157 0.0000 0.0000
F 2.5157 1.7086 2.5157
```

Values from the calculation:
- total magnetization (Bohr magnetons per cell) = 0.00
- total DFT energy (no corrections) (eV per atom) = -1.913
- space-group type = P4/mmm (123)
- density of states at the Fermi level (states/eV per atom) = 0.313
- mass density (g/cm3) = 11.87